[1]
The following is a DFT calculation (PBE) of a geometry-optimized SrPd2Pt2 structure.

Properties
As for the energy above the most stable polymorph in this dataset: 0.000 eV/atom. The value obtained for the energy of formation from the pure elements is -0.307 eV per atom. Its size of the total moment is 0.0 Bohr magnetons per cell.

Cell lengths 4.267, 4.267, 6.455 Å; angles 70.70, 70.70, 90.00 degrees
Element x y z (fractional)
Pt 0.609 0.609 0.782
Pt 0.391 0.391 0.218
Sr 0.000 0.000 0.000
Pd 0.250 0.750 0.500
Pd 0.750 0.250 0.500

=====

[2]
The following is a DFT calculation (PBE) of a geometry-optimized CeHo2Bi structure.

Properties
As for the energy above the most stable polymorph in this dataset: 0.033 eV/atom. The value obtained for the energy of formation from the pure elements is -0.294 eV per atom. Its size of the total moment is 0.4 Bohr magnetons per cell.

Cell lengths 3.984, 3.984, 7.317 Å; angles 90.00, 90.00, 90.00 degrees
Each line ends with the local moment (μB).
Element x y z (fractional)
Ho 0.000 0.000 0.230  0.00
Ho 0.000 0.000 0.770  0.00
Ce 0.500 0.500 0.500  0.35
Bi 0.500 0.500 0.000  -0.01

=====

[3]
The following is a DFT calculation (PBE) of a geometry-optimized LiCa2Zn4Ge3 structure.

Properties
The value obtained for the energy of formation from the pure elements is -0.362 eV per atom. Its size of the total moment is 0.0 Bohr magnetons per cell.

Cell lengths 4.175, 4.175, 11.040 Å; angles 90.00, 90.00, 90.00 degrees
Element x y z (fractional)
Ge 0.000 0.000 0.500
Ge 0.000 0.500 0.140
Ge 0.500 0.000 0.860
Ca 0.500 0.000 0.245
Ca 0.000 0.500 0.755
Zn 0.000 0.000 0.000
Zn 0.500 0.000 0.635
Zn 0.000 0.500 0.365
Zn 0.500 0.500 0.000
Li 0.500 0.500 0.500

=====

[4]
The following is a DFT calculation (PBE) of a geometry-optimized Mn4Nb2Fe5 structure.

Properties
The value obtained for the energy of formation from the pure elements is 0.251 eV per atom. Its size of the total moment is 2.6 Bohr magnetons per cell.

Cell lengths 4.827, 4.670, 7.826 Å; angles 80.83, 72.04, 58.88 degrees
Each line ends with the local moment (μB).
Element x y z (fractional)
Fe 0.000 0.500 0.000  1.33
Fe 0.500 0.000 0.000  1.43
Fe 0.250 0.500 0.500  -1.55
Fe 0.750 0.500 0.500  -1.55
Fe 0.500 0.500 0.000  1.33
Nb 0.888 0.000 0.224  -0.11
Nb 0.112 0.000 0.776  -0.11
Mn 0.509 0.712 0.270  0.46
Mn 0.779 0.712 0.730  0.46
Mn 0.221 0.288 0.270  0.46
Mn 0.491 0.288 0.730  0.46

=====

[5]
The following is a DFT calculation (PBE) of a geometry-optimized Ac2InHS5 structure.

Properties
Its size of the total moment is 0.0 Bohr magnetons per cell. The final energy comes out at -5.311 eV/atom.

Cell lengths 4.301, 8.736, 11.790 Å; angles 90.00, 90.00, 104.25 degrees
Element x y z (fractional)
S 0.706 0.412 0.843
S 0.024 0.048 0.048
S 0.976 0.952 0.548
S 0.689 0.378 0.161
S 0.486 0.971 0.287
S 0.514 0.029 0.787
S 0.352 0.703 0.001
S 0.311 0.622 0.661
S 0.294 0.588 0.343
S 0.648 0.297 0.501
Ac 0.114 0.229 0.301
Ac 0.867 0.734 0.198
Ac 0.886 0.771 0.801
Ac 0.133 0.266 0.698
H 0.728 0.456 0.496
H 0.272 0.544 0.996
In 0.404 0.808 0.488
In 0.596 0.192 0.988

=====

[6]
The following is a DFT calculation (PBE) of a geometry-optimized Er2Th3Sc3 structure.

Properties
As for the energy above the most stable polymorph in this dataset: 0.081 eV/atom. The value obtained for the energy of formation from the pure elements is 0.117 eV per atom. Its size of the total moment is 0.0 Bohr magnetons per cell.

Cell lengths 3.482, 8.796, 8.796 Å; angles 119.99, 90.00, 90.00 degrees
Element x y z (fractional)
Sc 0.500 0.606 0.606
Sc 0.500 0.394 0.000
Sc 0.500 0.000 0.394
Th 0.000 0.232 0.232
Th 0.000 0.000 0.768
Th 0.000 0.768 0.000
Er 0.000 0.667 0.333
Er 0.000 0.333 0.667

=====

[7]
The following is a DFT calculation (PBE) of a geometry-optimized LaPr3Dy6 structure.

Properties
As for the energy above the most stable polymorph in this dataset: 0.000 eV/atom. The value obtained for the energy of formation from the pure elements is 0.209 eV per atom. Its size of the total moment is 0.0 Bohr magnetons per cell.

Cell lengths 6.956, 9.973, 9.973 Å; angles 93.30, 90.00, 90.00 degrees
Element x y z (fractional)
La 0.523 0.809 0.191
La 0.023 0.191 0.809
Pr 0.209 0.400 0.600
Pr 0.709 0.600 0.400
Pr 0.988 0.172 0.243
Pr 0.488 0.243 0.172
Pr 0.988 0.757 0.828
Pr 0.488 0.828 0.757
Dy 0.809 0.476 0.054
Dy 0.700 0.511 0.720
Dy 0.809 0.946 0.524
Dy 0.700 0.280 0.489
Dy 0.749 0.010 0.990
Dy 0.200 0.720 0.511
Dy 0.200 0.489 0.280
Dy 0.309 0.524 0.946
Dy 0.249 0.990 0.010
Dy 0.511 0.212 0.788
Dy 0.011 0.788 0.212
Dy 0.309 0.054 0.476

=====

[8]
The following is a DFT calculation (PBE) of a geometry-optimized BaDyMoN3 structure.

Properties
The calculation puts the formation energy (no corrections) at -869 meV/atom. Its size of the total moment is 0.0 Bohr magnetons per cell.

Cell lengths 3.957, 7.092, 7.603 Å; angles 104.30, 90.00, 106.20 degrees
Element x y z (fractional)
N 0.493 0.986 0.696
N 0.836 0.673 0.633
N 0.854 0.708 0.210
N 0.146 0.292 0.790
N 0.164 0.327 0.367
N 0.507 0.014 0.304
Ba 0.358 0.716 0.925
Ba 0.642 0.284 0.075
Mo 0.004 0.008 0.684
Mo 0.996 0.992 0.316
Dy 0.660 0.319 0.563
Dy 0.340 0.681 0.437